[1]
First-principles (GGA-PBE) data for an optimized crystal structure of ReAgPd, as listed in the Alexandria database.

Output
E_tot, eV per atom: -6.558
M_tot, μB/atom: 0.0000
Symmetry: P-6m2, No. 187
Calculated volume, A^3/atom: 15.76

abc: 2.770 2.770 14.232
angles: 90.00 90.00 120.00
Fractional positions:
Re (0.000, 0.000, 0.159)
Re (0.000, 0.000, 0.841)
Ag (0.667, 0.333, 0.331)
Ag (0.667, 0.333, 0.669)
Pd (0.000, 0.000, 0.500)
Pd (0.667, 0.333, 0.000)

=====

[2]
First-principles (GGA-PBE) data for an optimized crystal structure of BaEuGaAg, as listed in the Alexandria database.

Output
E_tot, eV per atom: -4.782
M_tot, μB/atom: 1.8379
Symmetry: F-43m, No. 216
Calculated volume, A^3/atom: 31.04

abc: 5.600 5.600 5.600
angles: 60.00 60.00 60.00
Fractional positions:
Ba (0.000, 0.000, 0.000)
Eu (0.500, 0.500, 0.500)
Ga (0.750, 0.750, 0.750)
Ag (0.250, 0.250, 0.250)

=====

[3]
First-principles (GGA-PBE) data for an optimized crystal structure of InTeF3, as listed in the Alexandria database.

Output
ΔE_f (raw), eV/atom: -1.44
E_tot, eV per atom: -3.735
Energy relative to the lowest polymorph listed for this composition, kJ/mol of formula units: 0.0
M_tot, μB/atom: 0.4160
Symmetry: Pm-3m, No. 221
Calculated volume, A^3/atom: 17.73

abc: 4.459 4.459 4.459
angles: 90.00 90.00 90.00
Fractional positions:
In (0.000, 0.000, 0.000)
Te (0.500, 0.500, 0.500)
F (0.000, 0.000, 0.500)
F (0.000, 0.500, 0.000)
F (0.500, 0.000, 0.000)

=====

[4]
First-principles (GGA-PBE) data for an optimized crystal structure of NbHPt2, as listed in the Alexandria database.

Output
E_tot, eV per atom: -6.148
Energy relative to the lowest polymorph listed for this composition, kJ/mol of formula units: 144.7
M_tot, μB/atom: 0.0000
Symmetry: Fm-3m, No. 225
Calculated volume, A^3/atom: 14.77

abc: 4.371 4.371 4.371
angles: 60.00 60.00 60.00
Fractional positions:
Nb (0.000, 0.000, 0.000)
H (0.500, 0.500, 0.500)
Pt (0.250, 0.250, 0.250)
Pt (0.750, 0.750, 0.750)

=====

[5]
First-principles (GGA-PBE) data for an optimized crystal structure of DyThAl2, as listed in the Alexandria database.

Output
E_tot, eV per atom: -4.955
Energy relative to the lowest polymorph listed for this composition, kJ/mol of formula units: 100.9
M_tot, μB/atom: 0.0000
Symmetry: R-3m, No. 166
Calculated volume, A^3/atom: 26.51

abc: 9.540 9.540 9.540
angles: 21.92 21.92 21.92
Fractional positions:
Dy (0.000, 0.000, 0.000)
Th (0.500, 0.500, 0.500)
Al (0.252, 0.252, 0.252)
Al (0.748, 0.748, 0.748)

=====

[6]
First-principles (GGA-PBE) data for an optimized crystal structure of Pu2Pa8Tc3, as listed in the Alexandria database.

Output
E_tot, eV per atom: -10.419
M_tot, μB/atom: 0.0007
Symmetry: C2/m, No. 12
Calculated volume, A^3/atom: 22.56

abc: 8.207 8.207 5.832
angles: 102.03 102.03 50.11
Fractional positions:
Pu (0.222, 0.222, 0.176)
Pu (0.778, 0.778, 0.824)
Pa (0.076, 0.076, 0.315)
Pa (0.118, 0.594, 0.117)
Pa (0.318, 0.318, 0.590)
Pa (0.406, 0.882, 0.883)
Pa (0.594, 0.118, 0.117)
Pa (0.682, 0.682, 0.410)
Pa (0.882, 0.406, 0.883)
Pa (0.924, 0.924, 0.685)
Tc (0.302, 0.698, 0.500)
Tc (0.500, 0.500, 0.000)
Tc (0.698, 0.302, 0.500)

=====

[7]
First-principles (GGA-PBE) data for an optimized crystal structure of Zr2OsBr, as listed in the Alexandria database.

Output
ΔE_f (raw), eV/atom: -0.10
E_tot, eV per atom: -7.597
Energy relative to the lowest polymorph listed for this composition, kJ/mol of formula units: 152.4
M_tot, μB/atom: 0.0000
Symmetry: C2/m, No. 12
Calculated volume, A^3/atom: 19.34

abc: 5.000 5.000 3.174
angles: 97.60 97.60 96.10
Fractional positions:
Zr (0.000, 0.500, 0.000)
Zr (0.500, 0.000, 0.000)
Os (0.000, 0.000, 0.500)
Br (0.500, 0.500, 0.500)

=====

[8]
First-principles (GGA-PBE) data for an optimized crystal structure of SrZnCoSn2, as listed in the Alexandria database.

Output
E_tot, eV per atom: -3.805
M_tot, μB/atom: 0.0000
Symmetry: P4/mmm, No. 123
Calculated volume, A^3/atom: 23.71

abc: 4.963 4.963 4.815
angles: 90.00 90.00 90.00
Fractional positions:
Sr (0.000, 0.000, 0.000)
Zn (0.500, 0.500, 0.000)
Co (0.500, 0.500, 0.500)
Sn (0.000, 0.500, 0.500)
Sn (0.500, 0.000, 0.500)

=====

Repeat the eighth record exactly.
First-principles (GGA-PBE) data for an optimized crystal structure of SrZnCoSn2, as listed in the Alexandria database.

Output
E_tot, eV per atom: -3.805
M_tot, μB/atom: 0.0000
Symmetry: P4/mmm, No. 123
Calculated volume, A^3/atom: 23.71

abc: 4.963 4.963 4.815
angles: 90.00 90.00 90.00
Fractional positions:
Sr (0.000, 0.000, 0.000)
Zn (0.500, 0.500, 0.000)
Co (0.500, 0.500, 0.500)
Sn (0.000, 0.500, 0.500)
Sn (0.500, 0.000, 0.500)

=====

Question: Among the records above, which one has the highest calculated volume?
Answer: BaEuGaAg

=====

Question: E_tot of number 8 (SrZnCoSn2)?
Answer: -3.805 eV per atom

=====

Question: The lowest E_tot belongs to which entry?
Answer: Pu2Pa8Tc3